K2HgW | GGA-PBEsol | relaxed

Results
Space-group type: Cm
VASP energy, eV/atom: -3.109
E_form, meV/atom: 1051

Lattice parameters (Å, degrees): 5.0079 5.0079 9.5594 92.55 92.55 33.59
Positions (direct):
K: 0.0000 0.0000 0.0000
K: 0.2310 0.2310 0.5818
Hg: 0.7395 0.7395 0.2443
W: 0.4770 0.4770 0.3281

Ta2HgH | GGA-PBEsol | relaxed

Results
Space-group type: Fd-3m
VASP energy, eV/atom: -6.675

Lattice parameters (Å, degrees): 5.6849 5.6849 5.6849 60.00 60.00 60.00
Positions (direct):
Ta: 0.0000 0.0000 0.0000
Ta: 0.0000 0.0000 0.5000
Ta: 0.0000 0.5000 0.0000
Ta: 0.5000 0.0000 0.0000
Hg: 0.3750 0.3750 0.3750
Hg: 0.6250 0.6250 0.6250
H: 0.1250 0.1250 0.1250
H: 0.8750 0.8750 0.8750

TlZn2Ru | GGA-PBEsol | relaxed

Results
Distance to the lowest polymorph of the same formula, eV/f.u.: 0.00
Space-group type: Imm2
VASP energy, eV/atom: -3.804
E_form, meV/atom: 187

Lattice parameters (Å, degrees): 5.0386 5.0386 5.0386 136.27 134.73 64.76
Positions (direct):
Tl: 0.0000 0.0000 0.0000
Zn: 0.2524 0.7524 0.5000
Zn: 0.5010 0.5010 0.0000
Ru: 0.7474 0.2474 0.5000

In2TcW | GGA-PBEsol | relaxed

Results
Distance to the lowest polymorph of the same formula, eV/f.u.: 0.19
Space-group type: Cmmm
VASP energy, eV/atom: -7.174
E_form, meV/atom: 585

Lattice parameters (Å, degrees): 2.8660 2.8660 9.1065 90.00 90.00 111.39
Positions (direct):
In: 0.0000 0.0000 0.2432
In: 0.0000 0.0000 0.7568
Tc: 0.5000 0.5000 0.0000
W: 0.5000 0.5000 0.5000